Version 1
VASP calculation (PBE) on K3CuI4 after structural relaxation.

Cell lengths 4.767, 10.872, 14.319 Å; angles 90.00, 90.00, 90.00 degrees
Fractional coordinates of all 16 atoms:
I (0.064, 0.454, 0.500)
I (0.064, 0.911, 0.000)
I (0.565, 0.701, 0.658)
I (0.564, 0.089, 0.500)
I (0.564, 0.546, 0.000)
I (0.065, 0.299, 0.842)
I (0.065, 0.299, 0.158)
I (0.565, 0.701, 0.342)
K (0.565, 0.321, 0.338)
K (0.065, 0.679, 0.838)
K (0.065, 0.679, 0.162)
K (0.064, 0.858, 0.500)
K (0.565, 0.321, 0.662)
K (0.564, 0.142, 0.000)
Cu (0.564, 0.582, 0.500)
Cu (0.064, 0.418, 0.000)

Results
ρ = 3.081 g/cm3

Version 2
VASP calculation (PBE) on K3CuI4 after structural relaxation.

Cell lengths 8.466, 9.205, 10.617 Å; angles 90.00, 90.00, 90.00 degrees
Fractional coordinates of all 16 atoms:
I (0.191, 0.808, 0.500)
I (0.099, 0.310, 0.789)
I (0.599, 0.690, 0.289)
I (0.102, 0.904, 0.000)
I (0.599, 0.690, 0.711)
I (0.691, 0.192, 0.000)
I (0.099, 0.310, 0.211)
I (0.602, 0.096, 0.500)
K (0.004, 0.674, 0.758)
K (0.504, 0.326, 0.742)
K (0.004, 0.674, 0.242)
K (0.010, 0.140, 0.500)
K (0.510, 0.860, 0.000)
K (0.504, 0.326, 0.258)
Cu (0.504, 0.821, 0.500)
Cu (0.004, 0.179, 0.000)

Results
ρ = 2.763 g/cm3

Of the structures shown above, version 1 is the most stable.